Entry 1:
The following is a PBE-GGA calculation of crystalline AgBiSN2 at its relaxed geometry, from Alexandria.

Geometry as CIF:
```
data_AgBiSN2
_chemical_formula_sum 'Ag1 Bi1 S1 N2'
_cell_length_a 4.412
_cell_length_b 4.412
_cell_length_c 5.456
_cell_angle_alpha 90.00
_cell_angle_beta 90.00
_cell_angle_gamma 90.00
_space_group_name_H-M_alt 'P 4/m m m'
_space_group_IT_number 123
_space_group_name_Hall '-P 4 2'
loop_
_atom_site_label
_atom_site_type_symbol
_atom_site_fract_x
_atom_site_fract_y
_atom_site_fract_z
Ag1 Ag 0.000 0.000 0.000
Bi1 Bi 0.500 0.500 0.500
S1 S 0.500 0.500 0.000
N1 N 0.000 0.500 0.500
```

Results
- Excess energy over the best structure of this formula in the dataset: 0.017 eV/atom
- Formation energy from raw total energies: 1.587 eV per atom

Entry 2:
The following is a PBE-GGA calculation of crystalline NbZnAu2 at its relaxed geometry, from Alexandria.

Geometry as CIF:
```
data_NbZnAu2
_chemical_formula_sum 'Nb4 Zn4 Au8'
_cell_length_a 3.987
_cell_length_b 3.987
_cell_length_c 18.787
_cell_angle_alpha 90.00
_cell_angle_beta 90.00
_cell_angle_gamma 90.00
_space_group_name_H-M_alt 'I -4 2 d'
_space_group_IT_number 122
_space_group_name_Hall 'I -4 2bw'
loop_
_atom_site_label
_atom_site_type_symbol
_atom_site_fract_x
_atom_site_fract_y
_atom_site_fract_z
Nb1 Nb 0.000 0.000 0.000
Zn1 Zn 0.000 0.000 0.500
Au1 Au 0.242 0.250 0.625
```

Results
- Energy of formation from the pure elements: 0.2776 eV/atom

Entry 3:
The following is a PBE-GGA calculation of crystalline BaSe2BrF at its relaxed geometry, from Alexandria.

Geometry as CIF:
```
data_BaSe2BrF
_chemical_formula_sum 'Ba1 Se2 Br1 F1'
_cell_length_a 6.712
_cell_length_b 6.712
_cell_length_c 6.146
_cell_angle_alpha 90.00
_cell_angle_beta 90.00
_cell_angle_gamma 90.00
_space_group_name_H-M_alt 'P 4/m m m'
_space_group_IT_number 123
_space_group_name_Hall '-P 4 2'
loop_
_atom_site_label
_atom_site_type_symbol
_atom_site_fract_x
_atom_site_fract_y
_atom_site_fract_z
Ba1 Ba 0.000 0.000 0.000
Se1 Se 0.000 0.500 0.000
Br1 Br 0.000 0.000 0.500
F1 F 0.500 0.500 0.500
```

Results
- Excess energy over the best structure of this formula in the dataset: 0.768 eV/atom
- Formation energy from raw total energies: -0.250 eV per atom